A crystal of MnHgRu2 relaxed with PBEsol, computed with SCAN.

```
data_MnHgRu2
_chemical_formula_sum 'Mn1 Hg1 Ru2'
_space_group_name_H-M_alt 'P m m 2'
_space_group_IT_number 25
_space_group_name_Hall 'P 2 -2'
_cell_length_a 2.8081
_cell_length_b 3.7407
_cell_length_c 5.6353
_cell_angle_alpha 90.00
_cell_angle_beta 90.00
_cell_angle_gamma 90.00
loop_
_atom_site_label
_atom_site_fract_x
_atom_site_fract_y
_atom_site_fract_z
Mn1 0.0000 0.0000 0.0000
Hg1 0.5000 0.5000 0.7311
Ru1 0.0000 0.0000 0.4352
Ru2 0.5000 0.5000 0.2353
```

Properties
Formation energy from the elements ... 0.13 eV per atom
Magnetization ... 3.82 μB per cell

---

A crystal of MgPb3 relaxed with PBEsol, computed with SCAN.

```
data_MgPb3
_chemical_formula_sum 'Mg2 Pb6'
_space_group_name_H-M_alt 'P 63/m m c'
_space_group_IT_number 194
_space_group_name_Hall '-P 6c 2c'
_cell_length_a 6.7706
_cell_length_b 6.7706
_cell_length_c 5.6265
_cell_angle_alpha 90.00
_cell_angle_beta 90.00
_cell_angle_gamma 120.00
loop_
_atom_site_label
_atom_site_fract_x
_atom_site_fract_y
_atom_site_fract_z
Mg1 0.3333 0.6667 0.2500
Pb1 0.1690 0.3381 0.7500
```

Properties
Formation energy from the elements ... -0.03 eV per atom
Magnetization ... 0.00 μB per cell

---

A crystal of AgAsH3 relaxed with PBEsol, computed with SCAN.

```
data_AgAsH3
_chemical_formula_sum 'Ag1 As1 H3'
_space_group_name_H-M_alt 'P m -3 m'
_space_group_IT_number 221
_space_group_name_Hall '-P 4 2 3'
_cell_length_a 3.6802
_cell_length_b 3.6802
_cell_length_c 3.6802
_cell_angle_alpha 90.00
_cell_angle_beta 90.00
_cell_angle_gamma 90.00
loop_
_atom_site_label
_atom_site_fract_x
_atom_site_fract_y
_atom_site_fract_z
Ag1 0.0000 0.0000 0.0000
As1 0.5000 0.5000 0.5000
H1 0.0000 0.0000 0.5000
```

Properties
Raw total energy ... -11.454 eV/atom
Magnetization ... 0.00 μB per cell

---

A crystal of RbFePb2Se relaxed with PBEsol, computed with SCAN.

```
data_RbFePb2Se
_chemical_formula_sum 'Rb1 Fe1 Pb2 Se1'
_space_group_name_H-M_alt 'P 4/m m m'
_space_group_IT_number 123
_space_group_name_Hall '-P 4 2'
_cell_length_a 5.6755
_cell_length_b 5.6755
_cell_length_c 5.9975
_cell_angle_alpha 90.00
_cell_angle_beta 90.00
_cell_angle_gamma 90.00
loop_
_atom_site_label
_atom_site_fract_x
_atom_site_fract_y
_atom_site_fract_z
Rb1 0.0000 0.0000 0.0000
Fe1 0.5000 0.5000 0.0000
Pb1 0.0000 0.5000 0.5000
Se1 0.0000 0.0000 0.5000
```

Properties
Formation energy without anion corrections ... 0.664 eV per atom
Magnetization ... 3.31 μB per cell

---

A crystal of YCr2Mo relaxed with PBEsol, computed with SCAN.

```
data_YCr2Mo
_chemical_formula_sum 'Y1 Cr2 Mo1'
_space_group_name_H-M_alt 'P 4/m m m'
_space_group_IT_number 123
_space_group_name_Hall '-P 4 2'
_cell_length_a 4.4954
_cell_length_b 4.4954
_cell_length_c 3.1146
_cell_angle_alpha 90.00
_cell_angle_beta 90.00
_cell_angle_gamma 90.00
loop_
_atom_site_label
_atom_site_fract_x
_atom_site_fract_y
_atom_site_fract_z
Y1 0.0000 0.0000 0.0000
Cr1 0.0000 0.5000 0.5000
Mo1 0.5000 0.5000 0.0000
```

Properties
Formation energy from the elements ... 0.48 eV per atom
Magnetization ... 2.76 μB per cell

---

A crystal of Ba2SrAg relaxed with PBEsol, computed with SCAN.

```
data_Ba2SrAg
_chemical_formula_sum 'Ba6 Sr3 Ag3'
_space_group_name_H-M_alt 'R -3 m'
_space_group_IT_number 166
_space_group_name_Hall '-R 3 2"'
_cell_length_a 4.5471
_cell_length_b 4.5471
_cell_length_c 33.3161
_cell_angle_alpha 90.00
_cell_angle_beta 90.00
_cell_angle_gamma 120.00
loop_
_atom_site_label
_atom_site_fract_x
_atom_site_fract_y
_atom_site_fract_z
Ba1 0.0000 0.0000 0.2248
Sr1 0.0000 0.0000 0.0000
Ag1 0.0000 0.0000 0.5000
```

Properties
Formation energy from the elements ... -0.07 eV per atom
Magnetization ... 1.30 μB per cell

---

A crystal of ZrTcRh2Pb relaxed with PBEsol, computed with SCAN.

```
data_ZrTcRh2Pb
_chemical_formula_sum 'Zr1 Tc1 Rh2 Pb1'
_space_group_name_H-M_alt 'P 4/m m m'
_space_group_IT_number 123
_space_group_name_Hall '-P 4 2'
_cell_length_a 4.7512
_cell_length_b 4.7512
_cell_length_c 4.8776
_cell_angle_alpha 90.00
_cell_angle_beta 90.00
_cell_angle_gamma 90.00
loop_
_atom_site_label
_atom_site_fract_x
_atom_site_fract_y
_atom_site_fract_z
Zr1 0.0000 0.0000 0.0000
Tc1 0.5000 0.5000 0.0000
Rh1 0.0000 0.5000 0.5000
Pb1 0.5000 0.5000 0.5000
```

Properties
Formation energy from the elements ... 1.37 eV per atom
Magnetization ... 0.96 μB per cell

---

A crystal of Pt2W relaxed with PBEsol, computed with SCAN.

```
data_Pt2W
_chemical_formula_sum 'Pt8 W4'
_space_group_name_H-M_alt 'P n m a'
_space_group_IT_number 62
_space_group_name_Hall '-P 2ac 2n'
_cell_length_a 4.7689
_cell_length_b 4.4966
_cell_length_c 8.3974
_cell_angle_alpha 90.00
_cell_angle_beta 90.00
_cell_angle_gamma 90.00
loop_
_atom_site_label
_atom_site_fract_x
_atom_site_fract_y
_atom_site_fract_z
Pt1 0.1686 0.2500 0.1676
Pt2 0.1765 0.2500 0.5058
W1 0.1775 0.2500 0.8386
```

Properties
Formation energy from the elements ... -0.30 eV per atom
Magnetization ... 0.00 μB per cell

---

A crystal of Cs2MnO4 relaxed with PBEsol, computed with SCAN.

```
data_Cs2MnO4
_chemical_formula_sum 'Cs8 Mn4 O16'
_space_group_name_H-M_alt 'P n m a'
_space_group_IT_number 62
_space_group_name_Hall '-P 2ac 2n'
_cell_length_a 8.3476
_cell_length_b 6.1934
_cell_length_c 11.0471
_cell_angle_alpha 90.00
_cell_angle_beta 90.00
_cell_angle_gamma 90.00
loop_
_atom_site_label
_atom_site_fract_x
_atom_site_fract_y
_atom_site_fract_z
Cs1 0.0144 0.2500 0.1937
Cs2 0.1672 0.7500 0.4112
Mn1 0.2350 0.7500 0.0806
O1 0.0384 0.7500 0.0873
O2 0.1941 0.0325 0.6476
O3 0.2054 0.2500 0.4381
```

Properties
Formation energy without anion corrections ... -1.888 eV per atom
Magnetization ... 4.00 μB per cell

---

A crystal of SiPRh2 relaxed with PBEsol, computed with SCAN.

```
data_SiPRh2
_chemical_formula_sum 'Si2 P2 Rh4'
_space_group_name_H-M_alt 'I -4 m 2'
_space_group_IT_number 119
_space_group_name_Hall 'I -4 -2'
_cell_length_a 3.4640
_cell_length_b 3.4640
_cell_length_c 8.6912
_cell_angle_alpha 90.00
_cell_angle_beta 90.00
_cell_angle_gamma 90.00
loop_
_atom_site_label
_atom_site_fract_x
_atom_site_fract_y
_atom_site_fract_z
Si1 0.0000 0.0000 0.0000
P1 0.0000 0.5000 0.2500
Rh1 0.0000 0.0000 0.5000
Rh2 0.0000 0.5000 0.7500
```

Properties
Formation energy without anion corrections ... -0.322 eV per atom
Magnetization ... 0.00 μB per cell

---

A crystal of CaNiW2 relaxed with PBEsol, computed with SCAN.

```
data_CaNiW2
_chemical_formula_sum 'Ca1 Ni1 W2'
_space_group_name_H-M_alt 'P 1 m 1'
_space_group_IT_number 6
_space_group_name_Hall 'P -2y'
_cell_length_a 2.8044
_cell_length_b 3.2382
_cell_length_c 7.6733
_cell_angle_alpha 90.00
_cell_angle_beta 94.30
_cell_angle_gamma 90.00
loop_
_atom_site_label
_atom_site_fract_x
_atom_site_fract_y
_atom_site_fract_z
Ca1 0.0000 0.0000 0.0000
Ni1 0.5539 0.5000 0.2705
W1 0.1056 0.0000 0.4521
W2 0.4949 0.5000 0.6746
```

Properties
Formation energy from the elements ... 0.49 eV per atom
Magnetization ... 0.00 μB per cell

---

A crystal of InCoIr2 relaxed with PBEsol, computed with SCAN.

```
data_InCoIr2
_chemical_formula_sum 'In1 Co1 Ir2'
_space_group_name_H-M_alt 'P 4/m m m'
_space_group_IT_number 123
_space_group_name_Hall '-P 4 2'
_cell_length_a 4.3828
_cell_length_b 4.3828
_cell_length_c 3.0406
_cell_angle_alpha 90.00
_cell_angle_beta 90.00
_cell_angle_gamma 90.00
loop_
_atom_site_label
_atom_site_fract_x
_atom_site_fract_y
_atom_site_fract_z
In1 0.0000 0.0000 0.0000
Co1 0.5000 0.5000 0.0000
Ir1 0.0000 0.5000 0.5000
```

Properties
Formation energy from the elements ... 0.13 eV per atom
Magnetization ... 3.06 μB per cell

---

Mass density per entry: 12.839; 9.603; 6.190; 5.455; 7.620; 3.926; 9.082; 21.173; 4.475; 8.435; 11.147; 15.870 g/cm3